The following is a PBE-GGA calculation of a relaxed structure of YPuInCl6, from Alexandria via LeMat-Bulk.

abc: 7.165 7.165 13.856
angles: 90.00 90.00 120.00
Element x y z (fractional)
Y  0.333  0.667  0.250
Y  0.667  0.333  0.750
Pu  0.333  0.667  0.750
Pu  0.667  0.333  0.250
In  0.000  0.000  0.000
In  0.000  0.000  0.500
Cl  0.016  0.374  0.139
Cl  0.016  0.642  0.361
Cl  0.358  0.374  0.361
Cl  0.358  0.984  0.139
Cl  0.374  0.016  0.639
Cl  0.374  0.358  0.861
Cl  0.626  0.642  0.139
Cl  0.626  0.984  0.361
Cl  0.642  0.016  0.861
Cl  0.642  0.626  0.639
Cl  0.984  0.358  0.639
Cl  0.984  0.626  0.861

Calculated values
- Space-group type: P-31c, No. 163
- Total magnetization: 6.0 μB/f.u.
- Crystal system: trigonal
- Raw total energy: -5.64 eV per atom
- Density of states at the Fermi level: 30.931 states/eV/cell